Compound: CrAuBr2
Source: the Alexandria database
Functional: PBE
Structure: relaxed

Calculated values
Crystal system ... orthorhombic
Polymorph energy (0 for the lowest one) ... 372 meV/atom
Energy ... -3.910 eV per atom

a b c (Å): 3.8640 3.9060 6.6645
angles (deg): 90.00 90.00 90.00
Last column: nearest neighbours and their distance in Å.
Fractional coordinates of all 4 atoms:
Cr 0.0000 0.0000 0.0000  4 Br 2.75
Au 0.5000 0.0000 0.5000  4 Br 2.75
Br 0.0000 0.5000 0.5000  4 Au 2.75
Br 0.5000 0.5000 0.0000  4 Cr 2.75

---

Compound: Nd2CuAs4
Source: the Alexandria database
Functional: PBE
Structure: relaxed

Calculated values
Crystal system ... tetragonal
Energy ... -5.446 eV per atom
Energy of formation ... -568.7 kJ/mol of formula units

a b c (Å): 4.0737 4.0737 9.4310
angles (deg): 90.00 90.00 90.00
Last column: nearest neighbours and their distance in Å.
Fractional coordinates of all 7 atoms:
Nd 0.0000 0.5000 0.2444  8 As 3.06-3.16, 2 Cu 3.08
Nd 0.5000 0.0000 0.7556  8 As 3.06-3.16, 2 Cu 3.08
Cu 0.5000 0.5000 0.0000  4 As 2.40
As 0.0000 0.0000 0.5000  4 As 2.88, 4 Nd 3.16
As 0.0000 0.5000 0.8656  2 Cu 2.40
As 0.5000 0.0000 0.1344  2 Cu 2.40
As 0.5000 0.5000 0.5000  4 As 2.88, 4 Nd 3.16